# 1
Computed, not measured: HfHgPO after structural relaxation at the GGA-PBE level of DFT.

Values from the calculation:
**E**: -6.415 eV/atom
**Calculated volume**: 96 Å³/f.u.
**Relative energy among the computed polymorphs**: 0.000 eV/atom
**Density**: 7.4 g/cm3

abc: 3.996 8.617 5.580
angles: 90.00 90.00 90.00
Space group Pmc2_1 (No. 26)
One atom of each set of equivalent atoms:
Hf (0.000, 0.144, 0.000) x2
Hg (0.500, 0.338, 0.423) x2
P (0.500, 0.317, 0.910) x2
O (0.000, 0.041, 0.307) x2

# 2
Computed, not measured: HfHgPO after structural relaxation at the GGA-PBE level of DFT.

Values from the calculation:
**E**: -6.256 eV/atom
**Calculated volume**: 70 Å³/f.u.
**Relative energy among the computed polymorphs**: 0.159 eV/atom
**Density**: 10.2 g/cm3

abc: 3.693 3.693 10.200
angles: 90.00 90.00 90.00
Space group P4/nmm (No. 129, origin choice 2)
One atom of each set of equivalent atoms:
Hf (0.250, 0.250, 0.117) x2
Hg (0.250, 0.750, 0.500) x2
P (0.250, 0.250, 0.762) x2
O (0.250, 0.750, 0.000) x2

# 3
Computed, not measured: HfHgPO after structural relaxation at the GGA-PBE level of DFT.

Values from the calculation:
**E**: -5.914 eV/atom
**Calculated volume**: 67 Å³/f.u.
**Relative energy among the computed polymorphs**: 0.500 eV/atom
**Density**: 10.6 g/cm3

abc: 5.343 5.343 4.696
angles: 90.00 90.00 90.00
Space group P4/nmm (No. 129, origin choice 2)
One atom of each set of equivalent atoms:
Hf (0.250, 0.750, 0.000) x2
Hg (0.250, 0.250, 0.408) x2
P (0.250, 0.250, 0.905) x2
O (0.250, 0.750, 0.500) x2

# 4
Computed, not measured: HfHgPO after structural relaxation at the GGA-PBE level of DFT.

Values from the calculation:
**E**: -6.226 eV/atom
**Calculated volume**: 75 Å³/f.u.
**Relative energy among the computed polymorphs**: 0.189 eV/atom
**Density**: 9.4 g/cm3

abc: 4.026 6.913 5.392
angles: 90.00 90.00 90.00
Space group Pmc2_1 (No. 26)
One atom of each set of equivalent atoms:
Hf (0.000, 0.177, 0.000) x2
Hg (0.500, 0.415, 0.499) x2
P (0.000, 0.195, 0.501) x2
O (0.500, 0.167, 0.003) x2